(1)
LiTl3Mo2O8 | PBEsol | relaxed

Results
* total magnetization: 0.00 μB per formula unit
* energy: -7.069 eV/atom
* calculated volume: 482.2 Å³ per cell
* DOS(E_F): 0.00 states/eV/atom

a b c (Å): 5.976 5.976 15.592
angles (deg): 90.00 90.00 120.00
Atoms (fractional coordinates):
Li 0.333 0.667 0.000
Li 0.667 0.333 0.500
Tl 0.000 0.000 0.144
Tl 0.000 0.000 0.400
Tl 0.000 0.000 0.644
Tl 0.000 0.000 0.900
Tl 0.333 0.667 0.801
Tl 0.667 0.333 0.301
Mo 0.333 0.667 0.230
Mo 0.333 0.667 0.497
Mo 0.667 0.333 0.730
Mo 0.667 0.333 0.997
O 0.013 0.506 0.457
O 0.170 0.340 0.266
O 0.170 0.830 0.266
O 0.333 0.667 0.119
O 0.333 0.667 0.610
O 0.340 0.170 0.766
O 0.494 0.506 0.457
O 0.494 0.987 0.457
O 0.506 0.013 0.957
O 0.506 0.494 0.957
O 0.660 0.830 0.266
O 0.667 0.333 0.110
O 0.667 0.333 0.619
O 0.830 0.170 0.766
O 0.830 0.660 0.766
O 0.987 0.494 0.957



(2)
Li2Zn2Mo3O12 | PBEsol | relaxed

Results
* total magnetization: 0.00 μB per formula unit
* energy: -7.495 eV/atom
* calculated volume: 924.8 Å³ per cell
* DOS(E_F): 0.00 states/eV/atom

a b c (Å): 5.068 10.464 17.438
angles (deg): 90.00 90.00 90.00
Atoms (fractional coordinates):
Li 0.107 0.250 0.249
Li 0.241 0.750 0.200
Li 0.259 0.250 0.700
Li 0.393 0.750 0.749
Li 0.607 0.250 0.251
Li 0.741 0.750 0.300
Li 0.759 0.250 0.800
Li 0.893 0.750 0.751
Zn 0.245 0.079 0.530
Zn 0.245 0.421 0.530
Zn 0.255 0.579 0.030
Zn 0.255 0.921 0.030
Zn 0.745 0.079 0.970
Zn 0.745 0.421 0.970
Zn 0.755 0.579 0.470
Zn 0.755 0.921 0.470
Mo 0.220 0.750 0.557
Mo 0.222 0.026 0.842
Mo 0.222 0.474 0.842
Mo 0.278 0.526 0.342
Mo 0.278 0.974 0.342
Mo 0.280 0.250 0.057
Mo 0.720 0.750 0.943
Mo 0.722 0.026 0.658
Mo 0.722 0.474 0.658
Mo 0.778 0.526 0.158
Mo 0.778 0.974 0.158
Mo 0.780 0.250 0.443
O 0.060 0.250 0.509
O 0.061 0.615 0.126
O 0.061 0.885 0.126
O 0.074 0.621 0.285
O 0.074 0.879 0.285
O 0.077 0.115 0.038
O 0.077 0.385 0.038
O 0.080 0.014 0.426
O 0.080 0.486 0.426
O 0.136 0.750 0.653
O 0.142 0.615 0.795
O 0.142 0.885 0.795
O 0.358 0.115 0.295
O 0.358 0.385 0.295
O 0.364 0.250 0.153
O 0.420 0.514 0.926
O 0.420 0.986 0.926
O 0.423 0.615 0.538
O 0.423 0.885 0.538
O 0.426 0.121 0.785
O 0.426 0.379 0.785
O 0.439 0.115 0.626
O 0.439 0.385 0.626
O 0.440 0.750 0.009
O 0.560 0.250 0.991
O 0.561 0.615 0.374
O 0.561 0.885 0.374
O 0.574 0.621 0.215
O 0.574 0.879 0.215
O 0.577 0.115 0.462
O 0.577 0.385 0.462
O 0.580 0.014 0.074
O 0.580 0.486 0.074
O 0.636 0.750 0.847
O 0.642 0.615 0.705
O 0.642 0.885 0.705
O 0.858 0.115 0.205
O 0.858 0.385 0.205
O 0.864 0.250 0.347
O 0.920 0.514 0.574
O 0.920 0.986 0.574
O 0.923 0.615 0.962
O 0.923 0.885 0.962
O 0.926 0.121 0.715
O 0.926 0.379 0.715
O 0.939 0.115 0.874
O 0.939 0.385 0.874
O 0.940 0.750 0.491



(3)
LiMoOs | PBEsol | relaxed

Results
* total magnetization: 0.00 μB per formula unit
* energy: -8.397 eV/atom
* calculated volume: 44.5 Å³ per cell
* DOS(E_F): 0.52 states/eV/atom

a b c (Å): 2.733 2.733 6.878
angles (deg): 90.00 90.00 120.00
Atoms (fractional coordinates):
Li 0.000 0.000 0.000
Mo 0.667 0.333 0.633
Os 0.333 0.667 0.329



(4)
LiMo2Os | PBEsol | relaxed

Results
* total magnetization: 0.00 μB per formula unit
* energy: -9.056 eV/atom
* calculated volume: 55.9 Å³ per cell
* excess energy over the best structure of this formula in the dataset: 71 meV per atom
* DOS(E_F): 0.66 states/eV/atom

a b c (Å): 3.855 3.855 3.761
angles (deg): 90.00 90.00 90.00
Atoms (fractional coordinates):
Li 0.000 0.000 0.000
Mo 0.000 0.500 0.500
Mo 0.500 0.000 0.500
Os 0.500 0.500 0.000



(5)
LiMo2Os | PBEsol | relaxed

Results
* total magnetization: 0.00 μB per formula unit
* energy: -9.127 eV/atom
* calculated volume: 55.7 Å³ per cell
* excess energy over the best structure of this formula in the dataset: 0 meV per atom
* DOS(E_F): 0.89 states/eV/atom

a b c (Å): 4.287 4.287 4.287
angles (deg): 60.00 60.00 60.00
Atoms (fractional coordinates):
Li 0.000 0.000 0.000
Mo 0.250 0.250 0.250
Mo 0.500 0.500 0.500
Os 0.750 0.750 0.750



(6)
LiMo2Os | PBEsol | relaxed

Results
* total magnetization: 0.00 μB per formula unit
* energy: -9.110 eV/atom
* calculated volume: 56.3 Å³ per cell
* excess energy over the best structure of this formula in the dataset: 17 meV per atom
* DOS(E_F): 0.65 states/eV/atom

a b c (Å): 4.303 4.303 4.303
angles (deg): 60.00 60.00 60.00
Atoms (fractional coordinates):
Li 0.000 0.000 0.000
Mo 0.250 0.250 0.250
Mo 0.750 0.750 0.750
Os 0.500 0.500 0.500



(7)
Li4MoOs | PBEsol | relaxed

Results
* total magnetization: 0.00 μB per formula unit
* energy: -4.879 eV/atom
* calculated volume: 70.9 Å³ per cell
* DOS(E_F): 0.23 states/eV/atom

a b c (Å): 4.645 4.645 4.645
angles (deg): 60.00 60.00 60.00
Atoms (fractional coordinates):
Li 0.123 0.123 0.123
Li 0.123 0.123 0.630
Li 0.123 0.630 0.123
Li 0.630 0.123 0.123
Mo 0.500 0.500 0.500
Os 0.750 0.750 0.750



(8)
Li2MoP | PBEsol | relaxed

Results
* total magnetization: 0.00 μB per formula unit
* energy: -5.571 eV/atom
* calculated volume: 56.9 Å³ per cell
* DOS(E_F): 0.59 states/eV/atom

a b c (Å): 3.367 5.635 5.635
angles (deg): 32.16 90.00 90.00
Atoms (fractional coordinates):
Li 0.000 0.000 0.000
Li 0.500 0.387 0.387
Mo 0.000 0.730 0.730
P 0.500 0.158 0.158